A relaxed structure of HfZrFePb, computed with PBE.

Cell: 4.799 4.799 4.799 Å, 60.00 60.00 60.00°
Atoms (fractional coordinates):
Hf1 0.000 0.000 0.000
Zr1 0.250 0.250 0.250
Fe1 0.750 0.750 0.750
Pb1 0.500 0.500 0.500

**Symmetry**: F-43m (216)
**VASP energy**: -7.28 eV per atom
**Total magnetization**: 1.968 μB per formula unit

A relaxed structure of KZrAsS3, computed with PBE.

Cell: 7.995 7.995 9.715 Å, 90.00 90.00 152.92°
Atoms (fractional coordinates):
K1 0.242 0.758 0.750
K2 0.758 0.242 0.250
Zr1 0.000 0.000 0.000
Zr2 0.000 0.000 0.500
As1 0.462 0.538 0.250
As2 0.538 0.462 0.750
S1 0.093 0.907 0.250
S2 0.379 0.621 0.030
S3 0.379 0.621 0.470
S4 0.621 0.379 0.530
S5 0.621 0.379 0.970
S6 0.907 0.093 0.750

**Symmetry**: Cmcm (63)
**VASP energy**: -5.18 eV per atom
**Total magnetization**: 0.027 μB per formula unit

A relaxed structure of ZnCoBiAu, computed with PBE.

Cell: 4.632 4.632 4.632 Å, 60.00 60.00 60.00°
Atoms (fractional coordinates):
Zn1 0.000 0.000 0.000
Co1 0.500 0.500 0.500
Bi1 0.250 0.250 0.250
Au1 0.750 0.750 0.750

**Symmetry**: F-43m (216)
**VASP energy**: -3.59 eV per atom
**Total magnetization**: 0.032 μB per formula unit